[1]
Entry from Alexandria: an optimized crystal structure of La2CuSi4Rh3 (GGA-PBE).

Unit cell a=4.2498 b=4.2498 c=9.8604 alpha=90.00 beta=90.00 gamma=90.00
Closest atoms and distances in Å follow each position.
Space group P-4m2 (No. 115)
Inequivalent atoms, fractional coordinates:
La: 0.0000 0.5000 0.2466 [2 per cell]  8 Si 3.23-3.25, 6 Rh 3.24-3.28, 2 Cu 3.28
Cu: 0.0000 0.0000 0.5000 [1 per cell]  4 Si 2.47
Si: 0.0000 0.0000 0.0000 [1 per cell]  4 Rh 2.45
Si: 0.0000 0.5000 0.6273 [2 per cell]  3 Rh 2.45-2.47, 2 Cu 2.47
Si: 0.5000 0.5000 0.0000 [1 per cell]  4 Rh 2.45
Rh: 0.0000 0.5000 0.8757 [2 per cell]  5 Si 2.45
Rh: 0.5000 0.5000 0.5000 [1 per cell]  4 Si 2.47

## Properties
Crystal system ... tetragonal
Total energy ... -66.5 eV for the cell shown

***

[2]
Entry from Alexandria: an optimized crystal structure of LaSmCuRh (GGA-PBE).

Unit cell a=4.4090 b=3.9633 c=10.8346 alpha=90.00 beta=90.00 gamma=90.00
Closest atoms and distances in Å follow each position.
Space group Amm2 (No. 38)
Inequivalent atoms, fractional coordinates:
La: 0.0000 0.0000 0.0000 [2 per cell]  4 Rh 3.03, 3 Cu 3.04-3.12
Sm: 0.5000 0.0000 0.2740 [2 per cell]  4 Cu 3.04, 3 Rh 3.06-3.08
Cu: 0.0000 0.0000 0.7123 [2 per cell]  2 Rh 2.78, 2 La 3.04, 4 Sm 3.04
Rh: 0.5000 0.0000 0.5563 [2 per cell]  2 Cu 2.78, 4 La 3.03, 3 Sm 3.06-3.08

## Properties
Crystal system ... orthorhombic
Total energy ... -46.2 eV for the cell shown
Energy above the most stable polymorph in this dataset ... 0.0 meV per atom

***

[3]
Entry from Alexandria: an optimized crystal structure of LaSmCuRh (GGA-PBE).

Unit cell a=7.1514 b=7.1514 c=7.1514 alpha=90.00 beta=90.00 gamma=90.00
Closest atoms and distances in Å follow each position.
Space group F-43m (No. 216)
Inequivalent atoms, fractional coordinates:
La: 0.0000 0.0000 0.0000 [4 per cell]  4 Cu 3.10, 4 Rh 3.10
Sm: 0.0000 0.0000 0.5000 [4 per cell]  4 Rh 3.10, 4 Cu 3.10
Cu: 0.2500 0.2500 0.2500 [4 per cell]  4 La 3.10, 4 Sm 3.10
Rh: 0.2500 0.2500 0.7500 [4 per cell]  4 La 3.10, 4 Sm 3.10

## Properties
Crystal system ... cubic
Total energy ... -91.3 eV for the cell shown
Energy above the most stable polymorph in this dataset ... 64.6 meV per atom

***

- Number 3 is which compound?
  LaSmCuRh

***

- Which value of total energy does entry 2 give?
  -46.2 eV for the cell shown

***

- Number 1 is which compound?
  La2CuSi4Rh3

***

- The lowest total energy belongs to which entry?
  number 3